Record 1
The following is a PBE-GGA calculation of crystalline Hf2BeGaFe at its relaxed geometry, from Alexandria.

Unit cell a=4.7329 b=4.7329 c=4.5489 alpha=90.00 beta=90.00 gamma=90.00
Space group P4/mmm (No. 123)
Symmetry-distinct sites (fractional):
Hf: 0.0000 0.5000 0.0000
Be: 0.0000 0.0000 0.5000
Ga: 0.5000 0.5000 0.5000
Fe: 0.5000 0.5000 0.0000

Record 2
The following is a PBE-GGA calculation of crystalline Hf2Be2GaFe5 at its relaxed geometry, from Alexandria.

Unit cell a=8.6790 b=8.6790 c=3.3040 alpha=90.00 beta=90.00 gamma=90.00
Space group P4/mbm (No. 127)
Symmetry-distinct sites (fractional):
Hf: 0.1782 0.3218 0.0000
Be: 0.1165 0.6165 0.0000
Ga: 0.0000 0.0000 0.0000
Fe: 0.0000 0.5000 0.5000
Fe: 0.0651 0.7838 0.5000

| no. | mass density (g/cm3) | formation energy (meV per atom) |
| --- | --- | --- |
| 1 | 8.01 | 471 |
| 2 | 9.66 | -265 |